SrFeAgF6: optimized geometry, PBE+U.

Cell and atoms, written as POSCAR:
```
SrFeAgF6
1.0
5.2563 0.0000 0.0000
0.0000 5.2563 0.0000
0.0000 0.0000 10.4895
Sr Fe Ag F
2 2 2 12
Cartesian
0.0000 0.0000 0.0000 Sr
2.6281 2.6281 5.2448 Sr
0.0000 0.0000 6.9637 Fe
2.6281 2.6281 1.7190 Fe
0.0000 0.0000 3.4298 Ag
2.6281 2.6281 8.6746 Ag
0.9144 0.9144 5.4998 F
0.9388 0.9388 8.3836 F
1.1974 1.1974 1.7048 F
1.4307 3.8256 6.9495 F
1.6893 3.5669 3.1389 F
1.7137 3.5425 0.2550 F
3.5425 1.7137 0.2550 F
3.5669 1.6893 3.1389 F
3.8256 1.4307 6.9495 F
4.0588 4.0588 1.7048 F
4.3175 4.3175 8.3836 F
4.3418 4.3418 5.4998 F
```

Properties
The value obtained for the total magnetization is 0.33 μB per atom. The total energy is -43.6 eV per formula unit.